Material: TiTlS2
Method: DFT, GGA-PBE
State: optimized geometry

Results
calculated total energy	-5.48	eV/atom
energy relative to the elements, uncorrected	-0.85	eV/atom
magnetization	4.00	μB/cell

Cell lengths 9.778, 9.202, 6.576 Å; angles 90.00, 131.65, 90.00 degrees
Positions (direct):
Ti1 0.000 0.118 0.000
Ti2 0.000 0.882 0.500
Ti3 0.500 0.382 0.500
Ti4 0.500 0.618 0.000
Tl1 0.052 0.396 0.615
Tl2 0.052 0.604 0.115
Tl3 0.552 0.104 0.115
Tl4 0.552 0.896 0.615
S1 0.269 0.228 0.154
S2 0.269 0.772 0.654
S3 0.470 0.388 0.822
S4 0.470 0.612 0.322
S5 0.769 0.272 0.654
S6 0.769 0.728 0.154
S7 0.970 0.112 0.322
S8 0.970 0.888 0.822

Material: Ti2TlS4
Method: DFT, GGA-PBE
State: optimized geometry

Results
calculated total energy	-5.98	eV/atom
energy relative to the elements, uncorrected	-1.03	eV/atom
magnetization	1.15	μB/cell

Cell lengths 6.415, 6.415, 12.649 Å; angles 90.00, 90.00, 147.57 degrees
Positions (direct):
Ti1 0.131 0.869 0.566
Ti2 0.131 0.869 0.934
Ti3 0.869 0.131 0.066
Ti4 0.869 0.131 0.434
Tl1 0.395 0.605 0.750
Tl2 0.605 0.395 0.250
S1 0.089 0.911 0.750
S2 0.237 0.763 0.101
S3 0.237 0.763 0.399
S4 0.500 0.500 0.000
S5 0.500 0.500 0.500
S6 0.763 0.237 0.601
S7 0.763 0.237 0.899
S8 0.911 0.089 0.250

Material: TiTlS2
Method: DFT, GGA-PBE
State: optimized geometry

Results
calculated total energy	-5.46	eV/atom
energy relative to the elements, uncorrected	-0.83	eV/atom
magnetization	4.00	μB/cell

Cell lengths 6.901, 10.071, 6.530 Å; angles 90.00, 90.00, 90.00 degrees
Positions (direct):
Ti1 0.052 0.126 0.000
Ti2 0.448 0.626 0.500
Ti3 0.552 0.374 0.000
Ti4 0.948 0.874 0.500
Tl1 0.030 0.621 0.052
Tl2 0.470 0.121 0.552
Tl3 0.530 0.879 0.052
Tl4 0.970 0.379 0.552
S1 0.034 0.076 0.652
S2 0.128 0.683 0.574
S3 0.372 0.183 0.074
S4 0.466 0.576 0.152
S5 0.534 0.424 0.652
S6 0.628 0.817 0.574
S7 0.872 0.317 0.074
S8 0.966 0.924 0.152

Material: TiTlS2
Method: DFT, GGA-PBE
State: optimized geometry

Results
calculated total energy	-5.27	eV/atom
energy relative to the elements, uncorrected	-0.64	eV/atom
magnetization	4.00	μB/cell

Cell lengths 4.151, 21.754, 4.799 Å; angles 90.00, 90.00, 90.00 degrees
Positions (direct):
Ti1 0.000 0.063 0.250
Ti2 0.000 0.937 0.750
Ti3 0.500 0.437 0.750
Ti4 0.500 0.563 0.250
Tl1 0.000 0.322 0.250
Tl2 0.000 0.678 0.750
Tl3 0.500 0.178 0.750
Tl4 0.500 0.822 0.250
S1 0.000 0.051 0.750
S2 0.000 0.166 0.250
S3 0.000 0.834 0.750
S4 0.000 0.949 0.250
S5 0.500 0.334 0.750
S6 0.500 0.449 0.250
S7 0.500 0.551 0.750
S8 0.500 0.666 0.250

Material: TiTl3S4
Method: DFT, GGA-PBE
State: optimized geometry

Results
calculated total energy	-4.49	eV/atom
energy relative to the elements, uncorrected	-0.55	eV/atom
magnetization	0.00	μB/cell

Cell lengths 11.353, 9.607, 5.700 Å; angles 90.00, 117.42, 90.00 degrees
Positions (direct):
Ti1 0.000 0.000 0.000
Ti2 0.500 0.500 0.000
Tl1 0.000 0.543 0.500
Tl2 0.246 0.431 0.246
Tl3 0.254 0.931 0.754
Tl4 0.500 0.043 0.500
Tl5 0.746 0.931 0.246
Tl6 0.754 0.431 0.754
S1 0.004 0.820 0.266
S2 0.191 0.118 0.157
S3 0.309 0.618 0.843
S4 0.496 0.320 0.734
S5 0.504 0.320 0.266
S6 0.691 0.618 0.157
S7 0.809 0.118 0.843
S8 0.996 0.820 0.734

Material: TiTlS2
Method: DFT, GGA-PBE
State: optimized geometry

Results
calculated total energy	-5.53	eV/atom
energy relative to the elements, uncorrected	-0.90	eV/atom
magnetization	4.00	μB/cell

Cell lengths 7.456, 7.456, 15.273 Å; angles 96.64, 96.64, 89.37 degrees
Positions (direct):
Ti1 0.114 0.698 0.824
Ti2 0.302 0.886 0.676
Ti3 0.303 0.450 0.675
Ti4 0.450 0.303 0.175
Ti5 0.550 0.697 0.825
Ti6 0.697 0.550 0.325
Ti7 0.698 0.114 0.324
Ti8 0.886 0.302 0.176
Tl1 0.137 0.719 0.102
Tl2 0.171 0.338 0.400
Tl3 0.281 0.863 0.398
Tl4 0.338 0.171 0.900
Tl5 0.662 0.829 0.100
Tl6 0.719 0.137 0.602
Tl7 0.829 0.662 0.600
Tl8 0.863 0.281 0.898
S1 0.039 0.425 0.737
S2 0.050 0.950 0.750
S3 0.146 0.297 0.096
S4 0.250 0.643 0.563
S5 0.297 0.146 0.596
S6 0.357 0.750 0.937
S7 0.414 0.586 0.250
S8 0.425 0.039 0.237
S9 0.575 0.961 0.763
S10 0.586 0.414 0.750
S11 0.643 0.250 0.063
S12 0.703 0.854 0.404
S13 0.750 0.357 0.437
S14 0.854 0.703 0.904
S15 0.950 0.050 0.250
S16 0.961 0.575 0.263